# Hf12MnSb6

Hf12MnSb6 after structural relaxation (PBE, the Alexandria database).

a = 12.1077 Å, b = 12.1077 Å, c = 10.7708 Å
α = 90.00°, β = 90.00°, γ = 120.00°
With the nearest neighbours (Å) after each atom.
Space group R-3 (No. 148, hexagonal axes)
Symmetry-distinct sites (fractional):
Hf1 0.0257 0.8575 0.3790  4 Sb 2.86-3.10, 1 Hf 3.12
Hf2 0.0687 0.8829 0.8728  1 Mn 2.40
Mn1 0.0000 0.0000 0.0000  6 Hf 2.40
Sb1 0.0362 0.7426 0.6335  7 Hf 2.86-3.10

crystal system: trigonal
total magnetization: 0.0 μB per cell
Fermi-level density of states: 54.09 states/eV/cell
formation energy without anion corrections: -100 meV/atom
total DFT energy (no corrections): -155.24 eV/f.u.
ρ: 10.66 Mg/m³

# HfMn4Sb

HfMn4Sb after structural relaxation (PBE, the Alexandria database).

a = 6.9660 Å, b = 6.9660 Å, c = 6.9660 Å
α = 90.00°, β = 90.00°, γ = 90.00°
With the nearest neighbours (Å) after each atom.
Space group F-43m (No. 216)
Symmetry-distinct sites (fractional):
Hf1 0.0000 0.0000 0.0000  12 Mn 2.89, 4 Sb 3.02
Mn1 0.1241 0.1241 0.6241  6 Mn 2.44-2.48
Sb1 0.2500 0.2500 0.2500  12 Mn 2.89, 4 Hf 3.02

crystal system: cubic
total magnetization: 16.5 μB per cell
Fermi-level density of states: 27.11 states/eV/cell
formation energy without anion corrections: -26 meV/atom
total DFT energy (no corrections): -50.91 eV/f.u.
ρ: 10.22 Mg/m³

# Hf6Mn2Sb

Hf6Mn2Sb after structural relaxation (PBE, the Alexandria database).

a = 8.6861 Å, b = 8.7173 Å, c = 9.5170 Å
α = 90.00°, β = 90.00°, γ = 90.00°
With the nearest neighbours (Å) after each atom.
Space group Immm (No. 71)
Symmetry-distinct sites (fractional):
Hf1 0.0000 0.1885 0.1768  3 Mn 2.62-2.75
Hf2 0.1952 0.2202 0.5000  3 Mn 2.73-2.76, 1 Sb 2.97
Hf3 0.2156 0.5000 0.2528  2 Mn 2.57-2.82
Mn1 0.0000 0.0000 0.3907  1 Mn 2.08
Mn2 0.1648 0.0000 0.0000  8 Hf 2.57-2.75, 1 Mn 2.86
Sb1 0.0000 0.5000 0.0000  12 Hf 3.05-3.27
Sb2 0.0000 0.5000 0.5000  2 Mn 2.91, 8 Hf 2.97-3.01

crystal system: orthorhombic
total magnetization: 0.0 μB per cell
Fermi-level density of states: 33.52 states/eV/cell
formation energy without anion corrections: -147 meV/atom
total DFT energy (no corrections): -83.51 eV/f.u.
ρ: 12.01 Mg/m³

# HfMnSbTe2

HfMnSbTe2 after structural relaxation (PBE, the Alexandria database).

a = 5.5271 Å, b = 5.5271 Å, c = 5.5888 Å
α = 90.00°, β = 90.00°, γ = 90.00°
With the nearest neighbours (Å) after each atom.
Space group P4/mmm (No. 123)
Symmetry-distinct sites (fractional):
Hf1 0.0000 0.0000 0.0000  4 Te 2.76, 2 Sb 2.79
Mn1 0.5000 0.5000 0.5000  4 Sb 3.91, 8 Te 3.93
Sb1 0.0000 0.0000 0.5000  2 Hf 2.79
Te1 0.0000 0.5000 0.0000  2 Hf 2.76

crystal system: tetragonal
total magnetization: 5.3 μB per cell
Fermi-level density of states: 3.42 states/eV/cell
formation energy without anion corrections: 387 meV/atom
total DFT energy (no corrections): -27.59 eV/f.u.
ρ: 5.94 Mg/m³
ΔE to the lowest computed polymorph: 0.0000 eV per atom

# HfMn2TlSb

HfMn2TlSb after structural relaxation (PBE, the Alexandria database).

a = 4.6390 Å, b = 4.6390 Å, c = 5.4768 Å
α = 90.00°, β = 90.00°, γ = 90.00°
With the nearest neighbours (Å) after each atom.
Space group P4/mmm (No. 123)
Symmetry-distinct sites (fractional):
Hf1 0.0000 0.0000 0.0000  4 Tl 3.28, 8 Mn 3.59
Mn1 0.0000 0.5000 0.5000  2 Sb 2.32
Tl1 0.5000 0.5000 0.0000  2 Sb 2.74
Sb1 0.5000 0.5000 0.5000  4 Mn 2.32

crystal system: tetragonal
total magnetization: 0.2 μB per cell
Fermi-level density of states: 10.25 states/eV/cell
formation energy without anion corrections: 1576 meV/atom
total DFT energy (no corrections): -26.90 eV/f.u.
ρ: 8.66 Mg/m³

# HfMnVSb2

HfMnVSb2 after structural relaxation (PBE, the Alexandria database).

a = 5.4141 Å, b = 5.4141 Å, c = 4.8158 Å
α = 90.00°, β = 90.00°, γ = 90.00°
With the nearest neighbours (Å) after each atom.
Space group P4/mmm (No. 123)
Symmetry-distinct sites (fractional):
Hf1 0.0000 0.0000 0.0000  2 Mn 2.41
Mn1 0.0000 0.0000 0.5000  2 Hf 2.41
V1 0.5000 0.5000 0.5000  8 Sb 3.62, 4 Mn 3.83
Sb1 0.0000 0.5000 0.0000  2 Hf 2.71

crystal system: tetragonal
total magnetization: 3.5 μB per cell
Fermi-level density of states: 7.39 states/eV/cell
formation energy without anion corrections: 1282 meV/atom
total DFT energy (no corrections): -30.08 eV/f.u.
ρ: 6.21 Mg/m³

# HfSc3Mn

HfSc3Mn after structural relaxation (PBE, the Alexandria database).

a = 5.0842 Å, b = 5.0842 Å, c = 5.0842 Å
α = 90.00°, β = 90.00°, γ = 90.00°
With the nearest neighbours (Å) after each atom.
Space group Pm-3m (No. 221)
Symmetry-distinct sites (fractional):
Hf1 0.0000 0.0000 0.0000  6 Sc 2.54
Sc1 0.0000 0.0000 0.5000  2 Hf 2.54
Mn1 0.5000 0.5000 0.5000  12 Sc 3.60

crystal system: cubic
total magnetization: 0.1 μB per cell
Fermi-level density of states: 9.66 states/eV/cell
formation enthalpy at 0 K: 1.52 eV/atom
total DFT energy (no corrections): -30.54 eV/f.u.
ρ: 4.65 Mg/m³
ΔE to the lowest computed polymorph: 1.1307 eV per atom

# HfSc2Mn2

HfSc2Mn2 after structural relaxation (PBE, the Alexandria database).

a = 6.6473 Å, b = 6.6473 Å, c = 4.1751 Å
α = 90.00°, β = 90.00°, γ = 90.00°
With the nearest neighbours (Å) after each atom.
Space group P4/mbm (No. 127)
Symmetry-distinct sites (fractional):
Hf1 0.0000 0.0000 0.0000  4 Mn 2.67
Sc1 0.1755 0.3245 0.5000  6 Mn 2.87
Mn1 0.1150 0.6150 0.0000  1 Mn 2.16

crystal system: tetragonal
total magnetization: 4.9 μB per cell
Fermi-level density of states: 23.08 states/eV/cell
formation enthalpy at 0 K: 0.08 eV/atom
total DFT energy (no corrections): -40.55 eV/f.u.
ρ: 6.81 Mg/m³

Question: total magnetization of number 3 (Hf6Mn2Sb)?
Answer: 0.0 μB per cell

Question: What is the total magnetization in the first record?
Answer: 0.0 μB per cell